Entry 1:
Density functional theory data (PBE) for a geometry-optimized Dy2Er5ThSc structure. Values from VASP.

The structure in Quantum ESPRESSO input format:
```
&SYSTEM
  ibrav = 0, nat = 18, ntyp = 4
/
ATOMIC_SPECIES
Dy 162.50 Dy.upf
Er 167.26 Er.upf
Th 232.04 Th.upf
Sc 44.96 Sc.upf
CELL_PARAMETERS angstrom
2.7979 -10.7964 0.0000
2.7979 10.7964 0.0000
0.0000 0.0000 9.3798
ATOMIC_POSITIONS crystal
Dy 0.1150 0.8850 0.5000
Dy 0.1338 0.8662 0.1105
Dy 0.8662 0.1338 0.6105
Dy 0.8850 0.1150 0.0000
Er 0.0126 0.9874 0.8059
Er 0.2683 0.7317 0.4916
Er 0.3041 0.6959 0.1002
Er 0.3945 0.6055 0.7755
Er 0.4712 0.5288 0.0721
Er 0.5288 0.4712 0.5721
Er 0.6055 0.3945 0.2755
Er 0.6959 0.3041 0.6002
Er 0.7317 0.2683 0.9916
Er 0.9874 0.0126 0.3059
Th 0.4009 0.5991 0.3921
Th 0.5991 0.4009 0.8921
Sc 0.1913 0.8087 0.8049
Sc 0.8087 0.1913 0.3049
```

Computed properties:
**E_form**: 1.559 eV per formula unit
**Total moment**: 0.000 μB/atom
**DOS at the Fermi energy**: 26.4 states/eV/cell
**Space group**: No. 36



Entry 2:
Density functional theory data (PBE) for a geometry-optimized Dy2ErThSc4 structure. Values from VASP.

The structure in Quantum ESPRESSO input format:
```
&SYSTEM
  ibrav = 0, nat = 8, ntyp = 4
/
ATOMIC_SPECIES
Dy 162.50 Dy.upf
Er 167.26 Er.upf
Th 232.04 Th.upf
Sc 44.96 Sc.upf
CELL_PARAMETERS angstrom
4.9304 0.0000 0.0000
0.0000 4.9304 0.0000
0.0000 0.0000 9.1530
ATOMIC_POSITIONS crystal
Dy 0.0000 0.0000 0.0000
Dy 0.5000 0.5000 0.5000
Er 0.0000 0.0000 0.5000
Th 0.5000 0.5000 0.0000
Sc 0.0000 0.5000 0.2480
Sc 0.0000 0.5000 0.7520
Sc 0.5000 0.0000 0.2480
Sc 0.5000 0.0000 0.7520
```

Computed properties:
**E_form**: 0.340 eV per formula unit
**Total moment**: 0.000 μB/atom
**DOS at the Fermi energy**: 12.2 states/eV/cell
**Space group**: No. 123



Entry 3:
Density functional theory data (PBE) for a geometry-optimized DyErTh2Sc5 structure. Values from VASP.

The structure in Quantum ESPRESSO input format:
```
&SYSTEM
  ibrav = 0, nat = 18, ntyp = 4
/
ATOMIC_SPECIES
Dy 162.50 Dy.upf
Er 167.26 Er.upf
Th 232.04 Th.upf
Sc 44.96 Sc.upf
CELL_PARAMETERS angstrom
-4.2169 4.2169 7.1948
4.2169 -4.2169 7.1948
4.2169 4.2169 -7.1948
ATOMIC_POSITIONS crystal
Dy 0.2500 0.2500 0.0000
Dy 0.7500 0.7500 0.0000
Er 0.2500 0.7500 0.5000
Er 0.7500 0.2500 0.5000
Th 0.1237 0.6237 0.7474
Th 0.3763 0.1237 0.5000
Th 0.6237 0.8763 0.5000
Th 0.8763 0.3763 0.2526
Sc 0.0000 0.0000 0.0000
Sc 0.0697 0.1504 0.5000
Sc 0.1504 0.6504 0.0807
Sc 0.3496 0.4303 0.5000
Sc 0.4303 0.9303 0.0807
Sc 0.5000 0.5000 0.0000
Sc 0.5697 0.0697 0.9193
Sc 0.6504 0.5697 0.5000
Sc 0.8496 0.3496 0.9193
Sc 0.9303 0.8496 0.5000
```

Computed properties:
**E_form**: 3.152 eV per formula unit
**Total moment**: 0.000 μB/atom
**DOS at the Fermi energy**: 27.2 states/eV/cell
**Space group**: No. 140



Entry 4:
Density functional theory data (PBE) for a geometry-optimized Dy2ErScTl2 structure. Values from VASP.

The structure in Quantum ESPRESSO input format:
```
&SYSTEM
  ibrav = 0, nat = 12, ntyp = 4
/
ATOMIC_SPECIES
Dy 162.50 Dy.upf
Er 167.26 Er.upf
Sc 44.96 Sc.upf
Tl 204.38 Tl.upf
CELL_PARAMETERS angstrom
4.9449 0.0000 0.0000
0.0000 9.7565 0.0000
0.0000 0.0000 6.8300
ATOMIC_POSITIONS crystal
Dy 0.0000 0.0468 0.0000
Dy 0.0000 0.9532 0.5000
Dy 0.5000 0.1904 0.2857
Dy 0.5000 0.8096 0.7857
Er 0.5000 0.4541 0.8999
Er 0.5000 0.5459 0.3999
Sc 0.0000 0.3069 0.6129
Sc 0.0000 0.6931 0.1129
Tl 0.0000 0.3809 0.1699
Tl 0.0000 0.6191 0.6699
Tl 0.5000 0.1393 0.7412
Tl 0.5000 0.8607 0.2412
```

Computed properties:
**E_form**: -1.544 eV per formula unit
**Total moment**: 0.000 μB/atom
**DOS at the Fermi energy**: 13.6 states/eV/cell
**Space group**: No. 26



Entry 5:
Density functional theory data (PBE) for a geometry-optimized DyErSc2Tl4 structure. Values from VASP.

The structure in Quantum ESPRESSO input format:
```
&SYSTEM
  ibrav = 0, nat = 8, ntyp = 4
/
ATOMIC_SPECIES
Dy 162.50 Dy.upf
Er 167.26 Er.upf
Sc 44.96 Sc.upf
Tl 204.38 Tl.upf
CELL_PARAMETERS angstrom
2.6134 1.5089 8.5482
-2.6134 1.5089 8.5482
0.0000 -3.0177 8.5482
ATOMIC_POSITIONS crystal
Dy 0.0000 0.0000 0.0000
Er 0.5000 0.5000 0.5000
Sc 0.2498 0.2498 0.2498
Sc 0.7502 0.7502 0.7502
Tl 0.1254 0.1254 0.1254
Tl 0.3754 0.3754 0.3754
Tl 0.6246 0.6246 0.6246
Tl 0.8746 0.8746 0.8746
```

Computed properties:
**E_form**: -2.265 eV per formula unit
**Total moment**: 0.000 μB/atom
**DOS at the Fermi energy**: 7.1 states/eV/cell
**Space group**: No. 166



Entry 6:
Density functional theory data (PBE) for a geometry-optimized DyEr2ScTl2 structure. Values from VASP.

The structure in Quantum ESPRESSO input format:
```
&SYSTEM
  ibrav = 0, nat = 12, ntyp = 4
/
ATOMIC_SPECIES
Dy 162.50 Dy.upf
Er 167.26 Er.upf
Sc 44.96 Sc.upf
Tl 204.38 Tl.upf
CELL_PARAMETERS angstrom
4.9371 0.0000 0.0000
0.0000 9.7084 0.0000
0.0000 0.0000 6.8383
ATOMIC_POSITIONS crystal
Dy 0.0000 0.0473 0.0000
Dy 0.0000 0.9527 0.5000
Er 0.0000 0.3106 0.3897
Er 0.0000 0.6894 0.8897
Er 0.5000 0.4522 0.1004
Er 0.5000 0.5478 0.6004
Sc 0.5000 0.1960 0.7124
Sc 0.5000 0.8040 0.2124
Tl 0.0000 0.3642 0.8408
Tl 0.0000 0.6358 0.3408
Tl 0.5000 0.1213 0.2709
Tl 0.5000 0.8787 0.7709
```

Computed properties:
**E_form**: -1.545 eV per formula unit
**Total moment**: 0.000 μB/atom
**DOS at the Fermi energy**: 13.0 states/eV/cell
**Space group**: No. 26



Entry 7:
Density functional theory data (PBE) for a geometry-optimized DyEr2Tm4Sc structure. Values from VASP.

The structure in Quantum ESPRESSO input format:
```
&SYSTEM
  ibrav = 0, nat = 8, ntyp = 4
/
ATOMIC_SPECIES
Dy 162.50 Dy.upf
Er 167.26 Er.upf
Tm 168.93 Tm.upf
Sc 44.96 Sc.upf
CELL_PARAMETERS angstrom
4.9069 0.0000 0.0000
0.0000 4.9069 0.0000
0.0000 0.0000 9.8303
ATOMIC_POSITIONS crystal
Dy 0.0000 0.0000 0.0000
Er 0.0000 0.0000 0.5000
Er 0.5000 0.5000 0.0000
Tm 0.0000 0.5000 0.2546
Tm 0.0000 0.5000 0.7454
Tm 0.5000 0.0000 0.2546
Tm 0.5000 0.0000 0.7454
Sc 0.5000 0.5000 0.5000
```

Computed properties:
**E_form**: 0.287 eV per formula unit
**Total moment**: 0.000 μB/atom
**DOS at the Fermi energy**: 12.1 states/eV/cell
**Space group**: No. 123



Entry 8:
Density functional theory data (PBE) for a geometry-optimized Dy2ErTmSc2 structure. Values from VASP.

The structure in Quantum ESPRESSO input format:
```
&SYSTEM
  ibrav = 0, nat = 12, ntyp = 4
/
ATOMIC_SPECIES
Dy 162.50 Dy.upf
Er 167.26 Er.upf
Tm 168.93 Tm.upf
Sc 44.96 Sc.upf
CELL_PARAMETERS angstrom
6.8423 0.0000 0.0000
0.0000 9.3205 0.0000
0.0000 0.0000 5.4042
ATOMIC_POSITIONS crystal
Dy 0.2494 0.1664 0.0000
Dy 0.2506 0.6664 0.5000
Dy 0.7494 0.3336 0.5000
Dy 0.7506 0.8336 0.0000
Er 0.0000 0.5000 0.0000
Er 0.5000 0.0000 0.5000
Tm 0.0000 0.0000 0.5000
Tm 0.5000 0.5000 0.0000
Sc 0.2498 0.3329 0.5000
Sc 0.2502 0.8329 0.0000
Sc 0.7498 0.1671 0.0000
Sc 0.7502 0.6671 0.5000
```

Computed properties:
**E_form**: 0.411 eV per formula unit
**Total moment**: 0.001 μB/atom
**DOS at the Fermi energy**: 24.1 states/eV/cell
**Space group**: No. 58



Entry 9:
Density functional theory data (PBE) for a geometry-optimized Dy6ErTm2Sc3 structure. Values from VASP.

The structure in Quantum ESPRESSO input format:
```
&SYSTEM
  ibrav = 0, nat = 12, ntyp = 4
/
ATOMIC_SPECIES
Dy 162.50 Dy.upf
Er 167.26 Er.upf
Tm 168.93 Tm.upf
Sc 44.96 Sc.upf
CELL_PARAMETERS angstrom
3.0076 -5.2044 0.0000
3.0076 5.2044 0.0000
-2.0000 0.0000 11.2141
ATOMIC_POSITIONS crystal
Dy 0.0859 0.4193 0.7576
Dy 0.2475 0.2475 0.2424
Dy 0.4193 0.0859 0.7576
Dy 0.5807 0.9141 0.2424
Dy 0.7525 0.7525 0.7576
Dy 0.9141 0.5807 0.2424
Er 0.0000 0.0000 0.5000
Tm 0.3333 0.6667 0.5000
Tm 0.6667 0.3333 0.5000
Sc 0.1667 0.8333 0.0000
Sc 0.5000 0.5000 0.0000
Sc 0.8333 0.1667 0.0000
```

Computed properties:
**E_form**: 0.519 eV per formula unit
**Total moment**: 0.000 μB/atom
**DOS at the Fermi energy**: 17.6 states/eV/cell
**Space group**: No. 12



Entry 10:
Density functional theory data (PBE) for a geometry-optimized Dy6Er2Tm3Sc structure. Values from VASP.

The structure in Quantum ESPRESSO input format:
```
&SYSTEM
  ibrav = 0, nat = 12, ntyp = 4
/
ATOMIC_SPECIES
Dy 162.50 Dy.upf
Er 167.26 Er.upf
Tm 168.93 Tm.upf
Sc 44.96 Sc.upf
CELL_PARAMETERS angstrom
3.0336 -5.2490 0.0000
3.0336 5.2490 0.0000
-2.0160 0.0000 11.3978
ATOMIC_POSITIONS crystal
Dy 0.0825 0.4137 0.2482
Dy 0.2487 0.2487 0.7516
Dy 0.4137 0.0825 0.2482
Dy 0.5863 0.9175 0.7518
Dy 0.7513 0.7513 0.2484
Dy 0.9175 0.5863 0.7518
Er 0.3334 0.6666 0.0000
Er 0.6666 0.3334 0.0000
Tm 0.1665 0.8335 0.5000
Tm 0.5000 0.5000 0.5000
Tm 0.8335 0.1665 0.5000
Sc 0.0000 0.0000 0.0000
```

Computed properties:
**E_form**: 0.350 eV per formula unit
**Total moment**: 0.000 μB/atom
**DOS at the Fermi energy**: 16.9 states/eV/cell
**Space group**: No. 12



Entry 11:
Density functional theory data (PBE) for a geometry-optimized DyErTm5Sc2 structure. Values from VASP.

The structure in Quantum ESPRESSO input format:
```
&SYSTEM
  ibrav = 0, nat = 18, ntyp = 4
/
ATOMIC_SPECIES
Dy 162.50 Dy.upf
Er 167.26 Er.upf
Tm 168.93 Tm.upf
Sc 44.96 Sc.upf
CELL_PARAMETERS angstrom
2.7586 -10.5539 0.0000
2.7586 10.5539 0.0000
0.0000 0.0000 9.2340
ATOMIC_POSITIONS crystal
Dy 0.1858 0.8142 0.5000
Dy 0.8142 0.1858 0.0000
Er 0.4021 0.5979 0.0969
Er 0.5979 0.4021 0.5969
Tm 0.0113 0.9887 0.5022
Tm 0.2642 0.7358 0.1809
Tm 0.3070 0.6930 0.7980
Tm 0.3915 0.6085 0.4710
Tm 0.4690 0.5310 0.7694
Tm 0.5310 0.4690 0.2694
Tm 0.6085 0.3915 0.9710
Tm 0.6930 0.3070 0.2980
Tm 0.7358 0.2642 0.6809
Tm 0.9887 0.0113 0.0022
Sc 0.1127 0.8873 0.1939
Sc 0.1365 0.8635 0.8186
Sc 0.8635 0.1365 0.3186
Sc 0.8873 0.1127 0.6939
```

Computed properties:
**E_form**: 1.541 eV per formula unit
**Total moment**: 0.000 μB/atom
**DOS at the Fermi energy**: 27.7 states/eV/cell
**Space group**: No. 36



Entry 12:
Density functional theory data (PBE) for a geometry-optimized Dy6Er3TmSc2 structure. Values from VASP.

The structure in Quantum ESPRESSO input format:
```
&SYSTEM
  ibrav = 0, nat = 12, ntyp = 4
/
ATOMIC_SPECIES
Dy 162.50 Dy.upf
Er 167.26 Er.upf
Tm 168.93 Tm.upf
Sc 44.96 Sc.upf
CELL_PARAMETERS angstrom
3.0226 -5.2292 0.0000
3.0226 5.2292 0.0000
-2.0080 0.0000 11.3192
ATOMIC_POSITIONS crystal
Dy 0.0824 0.4178 0.7551
Dy 0.2466 0.2466 0.2450
Dy 0.4178 0.0824 0.7551
Dy 0.5822 0.9176 0.2449
Dy 0.7534 0.7534 0.7550
Dy 0.9176 0.5822 0.2449
Er 0.0000 0.0000 0.5000
Er 0.3332 0.6668 0.5000
Er 0.6668 0.3332 0.5000
Tm 0.5000 0.5000 0.0000
Sc 0.1666 0.8334 0.0000
Sc 0.8334 0.1666 0.0000
```

Computed properties:
**E_form**: 0.440 eV per formula unit
**Total moment**: 0.000 μB/atom
**DOS at the Fermi energy**: 17.3 states/eV/cell
**Space group**: No. 12